Here is a geometry-optimized Ho3Mg3HgIr2 structure from OQMD. Energies are from GGA-PBE.

Values from the calculation:
Crystal system: hexagonal
Magnetization (μB/f.u.): 0.01

CIF file:
```
data_Ho3Mg3HgIr2
_chemical_formula_sum 'Ho3 Mg3 Hg1 Ir2'
_symmetry_space_group_name_H-M 'P 1'
_symmetry_Int_Tables_number 1
_cell_length_a 7.393
_cell_length_b 7.393
_cell_length_c 4.095
_cell_angle_alpha 90.00
_cell_angle_beta 90.00
_cell_angle_gamma 120.00
loop_
_symmetry_equiv_pos_as_xyz
'x,y,z'
loop_
_atom_site_label
_atom_site_type_symbol
_atom_site_fract_x
_atom_site_fract_y
_atom_site_fract_z
Ho1 Ho 0.578 0.578 0.000
Ir1 Ir 0.333 0.667 0.500
Ir2 Ir 0.667 0.333 0.500
Mg1 Mg 0.258 0.258 0.500
Mg2 Mg 0.000 0.742 0.500
Mg3 Mg 0.742 0.000 0.500
Ho2 Ho 0.000 0.422 0.000
Ho3 Ho 0.422 0.000 0.000
Hg1 Hg 0.000 0.000 0.000
```

***

Here is a geometry-optimized KHoHgO3 structure from OQMD. Energies are from GGA-PBE.

Values from the calculation:
Crystal system: orthorhombic
Magnetization (μB/f.u.): 0.00

CIF file:
```
data_KHoHgO3
_chemical_formula_sum 'K2 Ho2 Hg2 O6'
_symmetry_space_group_name_H-M 'P 1'
_symmetry_Int_Tables_number 1
_cell_length_a 6.996
_cell_length_b 6.996
_cell_length_c 8.898
_cell_angle_alpha 90.00
_cell_angle_beta 90.00
_cell_angle_gamma 150.45
loop_
_symmetry_equiv_pos_as_xyz
'x,y,z'
loop_
_atom_site_label
_atom_site_type_symbol
_atom_site_fract_x
_atom_site_fract_y
_atom_site_fract_z
Hg1 Hg 0.114 0.886 0.250
Ho1 Ho 0.500 0.500 0.500
O1 O 0.109 0.891 0.479
Hg2 Hg 0.886 0.114 0.750
O2 O 0.109 0.891 0.021
O3 O 0.473 0.527 0.250
K1 K 0.824 0.176 0.250
O4 O 0.891 0.109 0.521
O5 O 0.891 0.109 0.979
O6 O 0.527 0.473 0.750
K2 K 0.176 0.824 0.750
Ho2 Ho 0.500 0.500 0.000
```

***

no.,electronic total energy (eV per atom)
1,-4.608
2,-5.362